Density functional theory data (GGA+U) for a geometry-optimized CrH12C8F8 structure.

Values from the calculation:
magnetization: 6.0 μB per formula unit
space-group type: Fm-3m, No. 225
raw total energy: -123.2 eV per cell

Cell and atoms, written as CIF:
```
data_CrH12C8F8
_space_group_name_H-M_alt 'P 1'
_space_group_IT_number 1
_cell_length_a 8.173
_cell_length_b 8.173
_cell_length_c 8.173
_cell_angle_alpha 60.00
_cell_angle_beta 60.00
_cell_angle_gamma 60.00
loop_
_space_group_symop_operation_xyz
'x,y,z'
loop_
_atom_site_label
_atom_site_type_symbol
_atom_site_fract_x
_atom_site_fract_y
_atom_site_fract_z
Cr1 Cr 0.000 0.000 0.000
H1 H 0.000 0.000 0.232
H2 H 0.000 0.000 0.768
H3 H 0.000 0.232 0.000
H4 H 0.000 0.232 0.768
H5 H 0.000 0.768 0.000
H6 H 0.000 0.768 0.232
H7 H 0.232 0.000 0.000
H8 H 0.232 0.000 0.768
H9 H 0.232 0.768 0.000
H10 H 0.768 0.000 0.000
H11 H 0.768 0.000 0.232
H12 H 0.768 0.232 0.000
C1 C 0.174 0.174 0.826
C2 C 0.174 0.826 0.174
C3 C 0.174 0.826 0.826
C4 C 0.250 0.250 0.250
C5 C 0.750 0.750 0.750
C6 C 0.826 0.174 0.174
C7 C 0.826 0.174 0.826
C8 C 0.826 0.826 0.174
F1 F 0.049 0.317 0.317
F2 F 0.317 0.049 0.317
F3 F 0.317 0.317 0.049
F4 F 0.317 0.317 0.317
F5 F 0.683 0.683 0.683
F6 F 0.683 0.683 0.951
F7 F 0.683 0.951 0.683
F8 F 0.951 0.683 0.683
```